This record from Alexandria describes an optimized crystal structure of NbFeP3. The functional is PBE.

Values from the calculation:
Raw total energy   -31.80 eV per cell
DFT formation energy   593 meV per atom
Fermi-level density of states   5.85 states/eV per cell

Unit cell a=4.3417 b=4.3417 c=4.3417 alpha=90.00 beta=90.00 gamma=90.00
Space group Pm-3m (No. 221)
Inequivalent atoms, fractional coordinates:
Nb 0.0000 0.0000 0.0000
Fe 0.5000 0.5000 0.5000
P 0.0000 0.5000 0.5000